1.
PBE MgCuPt2N, optimized geometry; E = -22.8 eV for the cell shown; N(E_F) = 2.39 states/eV/cell; formation energy from raw total energies = 0.66 eV/atom; space-group type = No. 123
1.0
4.8505 0.0000 0.0000
0.0000 3.4093 0.0000
0.0000 0.0000 4.8505
Pt Cu N Mg
2 1 1 1
Cartesian
2.4253 0.0000 0.0000 Pt
0.0000 0.0000 2.4253 Pt
0.0000 0.0000 0.0000 Cu
0.0000 1.7046 0.0000 N
2.4253 1.7046 2.4253 Mg



2.
PBE Mg2CuReN, optimized geometry; E = -22.4 eV for the cell shown; N(E_F) = 3.10 states/eV/cell; formation energy from raw total energies = 1.13 eV/atom; space-group type = No. 123
1.0
5.0126 0.0000 0.0000
0.0000 3.3993 0.0000
0.0000 0.0000 5.0126
Re Mg N Cu
1 2 1 1
Cartesian
2.5063 1.6996 2.5063 Re
0.0000 0.0000 2.5063 Mg
2.5063 0.0000 0.0000 Mg
0.0000 1.6996 0.0000 N
0.0000 0.0000 0.0000 Cu



3.
PBE MgCu2RhN, optimized geometry; E = -17.3 eV for the cell shown; N(E_F) = 4.07 states/eV/cell; formation energy from raw total energies = 1.62 eV/atom; space-group type = No. 123
1.0
4.6330 0.0000 0.0000
0.0000 4.8879 0.0000
0.0000 0.0000 4.6330
Mg Rh Cu N
1 1 2 1
Cartesian
0.0000 2.4439 0.0000 Mg
0.0000 0.0000 0.0000 Rh
2.3165 0.0000 0.0000 Cu
0.0000 0.0000 2.3165 Cu
2.3165 2.4439 2.3165 N



4.
PBE MgCuRu2N, optimized geometry; E = -32.0 eV for the cell shown; N(E_F) = 4.48 states/eV/cell; formation energy from raw total energies = 0.11 eV/atom; space-group type = No. 123
1.0
-2.8422 -1.1316 2.6262
1.6451 -3.6444 0.2101
2.3309 1.2282 3.0518
N Cu Ru Mg
1 1 2 1
Cartesian
0.0000 0.0000 0.0000 N
0.8226 -1.8222 0.1051 Cu
1.1655 0.6141 1.5259 Ru
-1.4211 -0.5658 1.3131 Ru
0.5669 -1.7739 2.9440 Mg



5.
PBE MgCuS2N, optimized geometry; E = -20.0 eV for the cell shown; N(E_F) = 3.28 states/eV/cell; formation energy from raw total energies = 0.46 eV/atom; space-group type = No. 123
1.0
-3.0069 -0.0725 -3.6761
3.1782 -2.4389 -2.5516
-1.4046 -3.0963 1.2100
Mg Cu S N
1 1 2 1
Cartesian
-0.6167 -2.8039 -2.5088 Mg
0.0000 0.0000 0.0000 Cu
1.5891 -1.2195 -1.2758 S
-1.5035 -0.0362 -1.8380 S
-0.7023 -1.5482 0.6050 N



6.
PBE MgCuSN2, optimized geometry; E = -19.3 eV for the cell shown; N(E_F) = 3.49 states/eV/cell; formation energy from raw total energies = 1.44 eV/atom; space-group type = No. 123
1.0
3.9351 0.0000 0.0000
0.0000 3.9351 0.0000
0.0000 0.0000 5.2512
N Cu Mg S
2 1 1 1
Cartesian
1.9676 0.0000 0.0000 N
0.0000 1.9676 0.0000 N
1.9676 1.9676 2.6256 Cu
0.0000 0.0000 0.0000 Mg
0.0000 0.0000 2.6256 S



7.
PBE MgCuSN2, optimized geometry; E = -21.9 eV for the cell shown; N(E_F) = 1.33 states/eV/cell; formation energy from raw total energies = 0.92 eV/atom; space-group type = No. 123
1.0
3.6850 0.0000 0.0000
0.0000 3.6850 0.0000
0.0000 0.0000 5.4544
S Mg N Cu
1 1 2 1
Cartesian
0.0000 0.0000 2.7272 S
1.8425 1.8425 2.7272 Mg
0.0000 1.8425 0.0000 N
1.8425 0.0000 0.0000 N
0.0000 0.0000 0.0000 Cu



8.
PBE MgCuS2N, optimized geometry; E = -17.2 eV for the cell shown; N(E_F) = 5.62 states/eV/cell; formation energy from raw total energies = 1.02 eV/atom; space-group type = No. 123
1.0
-4.2954 0.0425 -2.1383
-1.9716 -1.9378 3.9220
-0.6672 3.5336 1.4105
S N Mg Cu
2 1 1 1
Cartesian
-2.1477 0.0212 -1.0691 S
-0.9858 -0.9689 1.9610 S
-0.3336 1.7668 0.7053 N
0.0000 0.0000 0.0000 Mg
-3.4671 0.8191 1.5971 Cu



What is the N(E_F) in the sixth record?
3.49 states/eV/cell